[1]
Density functional theory data (PBE) for an optimized crystal structure of B3C.

- D(E_F) (states/eV/atom) = 0.200
- ΔH_f (0 K) (eV/atom) = 0.44
- excess energy over the best structure of this formula in the dataset (eV/atom) = 0.196
- symmetry = Cm (8)

a = 7.001 Å, b = 7.001 Å, c = 4.993 Å
α = 72.10°, β = 72.10°, γ = 22.54°
Element x y z (fractional)
B  0.296  0.296  0.036
B  0.182  0.182  0.971
B  0.103  0.103  0.802
B  0.000  0.000  0.108
B  0.996  0.996  0.699
B  0.863  0.863  0.741
B  0.684  0.684  0.703
B  0.580  0.580  0.592
B  0.463  0.463  0.546
C  0.331  0.331  0.314
C  0.801  0.801  0.500
C  0.452  0.452  0.238

[2]
Density functional theory data (PBE) for an optimized crystal structure of BC.

- D(E_F) (states/eV/atom) = 0.170
- ΔH_f (0 K) (eV/atom) = 0.41
- excess energy over the best structure of this formula in the dataset (eV/atom) = 0.257
- symmetry = R3m (160)

a = 11.876 Å, b = 11.876 Å, c = 11.876 Å
α = 12.34°, β = 12.34°, γ = 12.34°
Element x y z (fractional)
B  0.798  0.798  0.798
B  0.161  0.161  0.161
B  0.387  0.387  0.387
B  0.751  0.751  0.751
B  0.557  0.557  0.557
C  0.603  0.603  0.603
C  0.950  0.950  0.950
C  0.204  0.204  0.204
C  0.995  0.995  0.995
C  0.343  0.343  0.343

[3]
Density functional theory data (PBE) for an optimized crystal structure of B7C5.

- D(E_F) (states/eV/atom) = 0.105
- ΔH_f (0 K) (eV/atom) = 0.30
- excess energy over the best structure of this formula in the dataset (eV/atom) = 0.131
- symmetry = Cm (8)

a = 4.542 Å, b = 4.541 Å, c = 8.099 Å
α = 110.74°, β = 110.75°, γ = 34.66°
Element x y z (fractional)
B  0.000  0.082  0.346
B  0.289  0.372  0.147
B  0.123  0.207  0.228
B  0.937  0.020  0.959
B  0.566  0.650  0.769
B  0.284  0.368  0.665
B  0.956  0.039  0.531
C  0.633  0.717  0.364
C  0.874  0.957  0.132
C  0.444  0.527  0.869
C  0.114  0.198  0.704
C  0.778  0.863  0.536

[4]
Density functional theory data (PBE) for an optimized crystal structure of B3C.

- D(E_F) (states/eV/atom) = 0.169
- ΔH_f (0 K) (eV/atom) = 0.53
- excess energy over the best structure of this formula in the dataset (eV/atom) = 0.294
- symmetry = P3m1 (156)

a = 2.707 Å, b = 2.707 Å, c = 15.390 Å
α = 90.00°, β = 90.00°, γ = 120.00°
Element x y z (fractional)
B  0.667  0.333  0.805
B  0.000  0.000  0.870
B  0.333  0.667  0.634
B  0.667  0.333  0.696
B  0.667  0.333  0.345
B  0.000  0.000  0.403
B  0.000  0.000  0.520
B  0.333  0.667  0.235
B  0.000  0.000  0.984
C  0.333  0.667  0.530
C  0.667  0.333  0.243
C  0.333  0.667  0.987

[5]
Density functional theory data (PBE) for an optimized crystal structure of B3C.

- D(E_F) (states/eV/atom) = 0.095
- ΔH_f (0 K) (eV/atom) = 0.31
- excess energy over the best structure of this formula in the dataset (eV/atom) = 0.066
- symmetry = Pm (6)

a = 2.796 Å, b = 4.697 Å, c = 6.387 Å
α = 78.03°, β = 90.00°, γ = 90.00°
Element x y z (fractional)
B  0.500  0.426  0.377
B  0.500  0.559  0.879
B  0.000  0.765  0.749
B  0.000  0.264  0.478
B  0.000  0.338  0.211
B  0.000  0.895  0.262
B  0.000  0.099  0.996
B  0.000  0.679  0.026
B  0.500  0.167  0.640
C  0.500  0.771  0.387
C  0.500  0.225  0.876
C  0.500  0.811  0.619

[6]
Density functional theory data (PBE) for an optimized crystal structure of BC.

- D(E_F) (states/eV/atom) = 0.144
- ΔH_f (0 K) (eV/atom) = 0.44
- excess energy over the best structure of this formula in the dataset (eV/atom) = 0.285
- symmetry = Cm (8)

a = 6.011 Å, b = 6.011 Å, c = 5.512 Å
α = 102.79°, β = 102.79°, γ = 24.76°
Element x y z (fractional)
B  0.931  0.931  0.191
B  0.314  0.314  0.177
B  0.986  0.986  0.504
B  0.677  0.677  0.290
B  0.594  0.594  0.562
B  0.326  0.326  0.675
C  0.004  0.004  0.985
C  0.244  0.244  0.399
C  0.924  0.924  0.721
C  0.246  0.246  0.881
C  0.670  0.670  0.842
C  0.584  0.584  0.023